1.
A geometry-optimized NdZrNi structure. Source: Alexandria via LeMat-Bulk, functional PBE-GGA.

Cell lengths 3.513, 6.400, 7.089 Å; angles 116.69, 104.22, 90.09 degrees
Space group P-1 (No. 2)
Unique sites:
1 Nd 0.210 0.209 0.418 x2
2 Zr 0.499 0.250 0.000 x2
3 Ni 0.104 0.604 0.209 x2

Summary:
**Energy above the lowest structure with this stoichiometry**: 0 meV per atom
**N(E_F)**: 9.31 states/eV/cell
**Energy**: -39.32 eV for the cell shown


2.
A geometry-optimized Nd2ZrNi structure. Source: Alexandria via LeMat-Bulk, functional PBE-GGA.

Cell lengths 3.4475, 3.4475, 31.1037 Å; angles 90.00, 90.00, 120.00 degrees
Space group R-3m (No. 166, hexagonal axes)
Unique sites:
1 Nd 0.0000 0.0000 0.1042 x6
2 Zr 0.0000 0.0000 0.0000 x3
3 Ni 0.0000 0.0000 0.5000 x3

Summary:
**N(E_F)**: 12.02 states/eV/cell
**Energy**: -67.43 eV for the cell shown


3.
A geometry-optimized NdNp4 structure. Source: Alexandria via LeMat-Bulk, functional PBE-GGA.

Cell lengths 5.448, 5.448, 5.448 Å; angles 90.00, 90.00, 90.00 degrees
Space group Pm-3m (No. 221)
Unique sites:
1 Nd 0.000 0.000 0.000 x1
2 Np 0.000 0.000 0.500 x3
3 Np 0.500 0.500 0.500 x1

Summary:
**N(E_F)**: 22.42 states/eV/cell
**Energy**: -47.72 eV for the cell shown


DFT formation energy for every record listed, in sequence, given in eV/atom: -0.1882, 0.3470, 1.7620.